Model a:
The following is a DFT calculation (PBE-GGA) of crystalline CaScBr2 at its relaxed geometry.

a b c (Å): 3.7655 3.7655 29.4496
angles (deg): 90.00 90.00 120.00
Space group R-3m (No. 166, hexagonal axes)
Unique sites:
Ca 0.0000 0.0000 0.0000 x3
Sc 0.0000 0.0000 0.5000 x3
Br 0.0000 0.0000 0.1080 x6

D(E_F): 0.749 states/eV/atom
V: 30.14 A^3/atom
Density: 3.373 g/cm³

Model b:
The following is a DFT calculation (PBE-GGA) of crystalline CaScBr2 at its relaxed geometry.

a b c (Å): 7.7834 7.7834 7.7834
angles (deg): 90.00 90.00 90.00
Space group F-43m (No. 216)
Unique sites:
Ca 0.0000 0.0000 0.0000 x4
Sc 0.2500 0.2500 0.7500 x4
Br 0.0000 0.0000 0.5000 x4
Br 0.2500 0.2500 0.2500 x4

D(E_F): 2.011 states/eV/atom
V: 29.47 A^3/atom
Density: 3.449 g/cm³

Most stable one: model a, least stable one: model b.